Crystalline MgVI2O at its relaxed geometry, computed with PBE+U.

Lattice parameters (Å, degrees): 5.771 5.771 3.753 90.00 90.00 90.00
Element x y z (fractional)
Mg (0.000, 0.000, 0.000)
V (0.500, 0.500, 0.500)
I (0.000, 0.500, 0.500)
I (0.500, 0.000, 0.500)
O (0.500, 0.500, 0.000)

Computed properties:
- SG: P4/mmm
- Density: 4.58 g/cm³
- Polymorph energy (0 for the lowest one): 0.000 eV per atom
- Spin magnetization: 0.44 μB per atom